## P
Below is a relaxed NiHN2F crystal, with properties calculated at the PBE+U level.

Cell: 3.777 3.777 4.121 Å, 90.00 90.00 90.00°
Space group P4/mmm (No. 123)
One atom of each set of equivalent atoms:
Ni 0.000 0.000 0.000 (multiplicity 1)
H 0.500 0.500 0.500 (multiplicity 1)
N 0.000 0.500 0.000 (multiplicity 2)
F 0.000 0.000 0.500 (multiplicity 1)



## Q
Below is a relaxed NiHN2F crystal, with properties calculated at the PBE+U level.

Cell: 2.923 2.923 4.680 Å, 90.00 90.00 90.00°
Space group P4/mmm (No. 123)
One atom of each set of equivalent atoms:
Ni 0.000 0.000 0.000 (multiplicity 1)
H 0.500 0.500 0.500 (multiplicity 1)
N 0.000 0.500 0.500 (multiplicity 2)
F 0.500 0.500 0.000 (multiplicity 1)



Question: of the structures shown, which is the least stable? Reply: P.